#i
MnReRu4: relaxed, PBE-GGA.

Properties
Volume, Å³/atom: 14.97

abc: 5.027 5.027 5.027
angles: 60.00 60.00 60.00
Each line ends with the local moment (μB).
Fractional coordinates of all 6 atoms:
Ru (0.874, 0.375, 0.375)  0.07
Ru (0.375, 0.874, 0.375)  0.07
Ru (0.375, 0.375, 0.375)  0.07
Ru (0.375, 0.375, 0.874)  0.07
Re (0.000, 0.000, 0.000)  -0.27
Mn (0.750, 0.750, 0.750)  3.61


#ii
MnReRu4: relaxed, PBE-GGA.

Properties
Volume, Å³/atom: 13.61

abc: 6.633 5.412 5.408
angles: 120.02 101.75 90.00
Fractional coordinates of all 12 atoms:
Ru (0.000, 0.741, 0.000)
Ru (0.008, 0.747, 0.494)
Ru (0.000, 0.259, 0.000)
Ru (0.660, 0.365, 0.224)
Ru (0.340, 0.635, 0.776)
Ru (0.992, 0.253, 0.506)
Ru (0.340, 0.141, 0.776)
Ru (0.660, 0.859, 0.224)
Mn (0.340, 0.641, 0.283)
Mn (0.660, 0.359, 0.717)
Re (0.661, 0.858, 0.715)
Re (0.339, 0.142, 0.285)


If you had to bet on the most stable structure above, which would it be? Bet on #ii.